Entry from Alexandria via LeMat-Bulk: an optimized crystal structure of K4NiF6 (PBE+U).

The structure belongs to space group R-3c (No. 167, hexagonal axes); the cell edges are 10.1659, 10.1659 and 12.6431 Å and the angles 90.00°, 90.00° and 120.00°. Symmetry generates all atoms from K at (0.0000, 0.0000, 0.2500), K at (0.0000, 0.3657, 0.2500), Ni at (0.0000, 0.0000, 0.0000) and F at (0.0245, 0.1765, 0.4057).

The calculation puts the total magnetization at 11.90 μB/cell. The total DFT energy (no corrections) comes out at -281.697 eV per cell.